(i)
The following is a PBE calculation of a geometry-optimized LiOsPb structure, from Alexandria.

```
LiOsPb
1.0
5.0099 0.0088 0.0076
2.4202 4.3865 -0.0076
-3.2636 -2.9607 2.3836
Pb Li Os
1 1 1
Cartesian
4.9757 2.9434 0.0000 Pb
7.3694 4.3594 0.0000 Li
2.5151 1.4878 0.0000 Os
```

(ii)
The following is a PBE calculation of a geometry-optimized LiOsPb structure, from Alexandria.

```
LiOsPb
1.0
-0.1139 -1.5352 7.1543
-1.3482 -3.8751 5.7846
2.8233 -0.5507 0.7747
Li Os Pb
1 1 1
Cartesian
2.7520 -0.6316 0.9773 Li
-0.0049 -3.7579 8.8025 Os
1.4375 -2.1222 4.7084 Pb
```

Least stable of them? (ii).

(i)
The following is a PBE calculation of a geometry-optimized LiOsPb2 structure, from Alexandria.

```
LiOsPb2
1.0
10.8473 0.0572 0.0335
10.3767 3.1611 0.0335
10.3767 1.5735 2.7419
Li Pb Os
1 2 1
Cartesian
15.3879 2.3334 1.3678 Li
0.6328 0.0960 0.0562 Pb
7.4509 1.1298 0.6623 Pb
23.9294 3.6286 2.1271 Os
```

(ii)
The following is a PBE calculation of a geometry-optimized LiOsPb2 structure, from Alexandria.

```
LiOsPb2
1.0
4.6794 0.0088 -0.0100
3.4560 3.1549 -0.0100
1.0375 0.4035 5.7458
Pb Os Li
2 1 1
Cartesian
4.6481 1.8076 2.7762 Pb
8.0737 3.1397 0.0668 Pb
2.2932 0.8918 1.4315 Os
6.8797 2.6754 4.2944 Li
```

(iii)
The following is a PBE calculation of a geometry-optimized LiOsPb2 structure, from Alexandria.

```
LiOsPb2
1.0
3.4337 0.0000 0.0000
0.0000 4.2091 0.0000
0.0000 0.0000 5.6584
Pb Li Os
2 1 1
Cartesian
0.0000 0.0000 5.3776 Pb
1.7168 2.1046 1.6279 Pb
0.0000 0.0000 2.7982 Li
1.7168 2.1046 4.3423 Os
```

(iv)
The following is a PBE calculation of a geometry-optimized LiOsPb2 structure, from Alexandria.

```
LiOsPb2
1.0
4.5784 0.0000 0.0000
0.0000 3.4219 0.0019
0.0000 1.7279 5.1731
Pb Li Os
2 1 1
Cartesian
0.0000 4.9281 4.8103 Pb
2.2892 1.5089 1.6950 Pb
0.0000 3.2203 2.5017 Li
2.2892 3.2173 3.9306 Os
```

Least stable of them? (i).

(i)
The following is a PBE calculation of a geometry-optimized Li2OsPd2 structure, from Alexandria.

```
Li2OsPd2
1.0
7.1438 0.0000 0.0000
0.0000 7.1438 0.0000
0.0000 0.0000 2.6654
Li Pd Os
4 4 2
Cartesian
1.1349 4.7068 1.3327 Li
4.7068 6.0089 1.3327 Li
6.0089 2.4370 1.3327 Li
2.4370 1.1349 1.3327 Li
2.5577 6.1296 0.0000 Pd
4.5862 1.0142 0.0000 Pd
6.1296 4.5862 0.0000 Pd
1.0142 2.5577 0.0000 Pd
0.0000 0.0000 0.0000 Os
3.5719 3.5719 0.0000 Os
```

(ii)
The following is a PBE calculation of a geometry-optimized Li2OsPd2 structure, from Alexandria.

```
Li2OsPd2
1.0
-4.8523 -0.0582 -4.9495
-4.8785 -1.1163 4.7958
-0.3272 2.6729 0.2893
Pd Li Os
4 4 2
Cartesian
-5.6146 0.9423 -2.3779 Pd
-2.5947 1.1072 -0.4868 Pd
-4.4434 0.5562 2.5135 Pd
-7.4633 0.3912 0.6225 Pd
-6.1960 -1.0116 2.3386 Li
-3.5348 -0.1629 -2.4923 Li
-7.2945 -0.7369 -1.4413 Li
-2.4363 -0.4376 1.2876 Li
0.0000 0.0000 0.0000 Os
-4.8654 -0.5872 -0.0768 Os
```

Least stable of them? (i).

(i)
The following is a PBE calculation of a geometry-optimized LiOsPt2 structure, from Alexandria.

```
LiOsPt2
1.0
-4.7160 0.6756 -0.6443
-4.1776 -1.8300 -1.5203
-1.4522 -1.7566 4.1317
Pt Li Os
2 1 1
Cartesian
-7.6284 -2.0979 1.3120 Pt
-0.0848 -0.0828 0.1846 Pt
-5.1703 -1.5154 1.1567 Li
-2.6352 -0.6703 0.2975 Os
```

(ii)
The following is a PBE calculation of a geometry-optimized LiOsPt2 structure, from Alexandria.

```
LiOsPt2
1.0
-0.7636 -1.6713 -2.0501
2.3920 -1.3470 0.2072
-3.1853 -4.8638 5.1515
Os Li Pt
1 1 2
Cartesian
-1.5748 -5.1570 2.9422 Os
0.0179 -2.7251 0.3665 Li
-3.1670 -4.8359 5.1220 Pt
-1.6110 -2.4598 2.6054 Pt
```

Least stable of them? (ii).

(i)
The following is a PBE calculation of a geometry-optimized LiOsPt2 structure, from Alexandria.

```
LiOsPt2
1.0
5.9136 0.0748 -0.0135
3.6259 4.6721 0.0135
-4.2566 -3.4047 2.2947
Pt Os Li
2 1 1
Cartesian
0.1457 0.0725 0.0000 Pt
3.5524 -0.3095 1.1406 Pt
1.7950 1.6838 1.1541 Os
4.5595 2.2688 0.0000 Li
```

(ii)
The following is a PBE calculation of a geometry-optimized LiOsPt2 structure, from Alexandria.

```
LiOsPt2
1.0
-3.5797 -1.5244 1.9852
-2.1880 2.5338 2.8056
-3.9314 1.5667 -1.0808
Pt Os Li
2 1 1
Cartesian
-2.4248 0.6440 0.9275 Pt
-7.2743 1.9321 2.7824 Pt
-4.8495 1.2881 1.8550 Os
0.0000 0.0000 0.0000 Li
```

(iii)
The following is a PBE calculation of a geometry-optimized LiOsPt2 structure, from Alexandria.

```
LiOsPt2
1.0
4.7080 0.0039 -0.0080
3.9417 2.5745 -0.0080
0.5758 0.1716 4.8039
Li Pt Os
1 2 1
Cartesian
6.9191 2.0625 3.5909 Li
8.5949 2.5620 -0.0011 Pt
4.6674 1.3913 2.3790 Pt
2.3064 0.6875 1.1970 Os
```

Least stable of them? (ii).

(i)
The following is a PBE calculation of a geometry-optimized LiOsPt2 structure, from Alexandria.

```
LiOsPt2
1.0
-0.2208 3.8292 -0.6391
-2.5941 -0.6220 -2.8309
-2.8202 0.2592 2.5274
Os Pt Li
1 2 1
Cartesian
-2.7072 -0.1814 -0.1517 Os
0.0000 0.0000 0.0000 Pt
-1.4075 1.6036 -1.7350 Pt
-1.5205 2.0442 0.9442 Li
```

(ii)
The following is a PBE calculation of a geometry-optimized LiOsPt2 structure, from Alexandria.

```
LiOsPt2
1.0
-1.1862 0.0426 2.4217
-3.6188 -0.5500 -1.7629
0.6156 -5.3168 0.3950
Li Pt Os
1 2 1
Cartesian
0.2928 -2.5288 0.1879 Li
-2.2255 -1.7827 0.4430 Pt
0.5937 -5.1283 0.3810 Pt
-1.9271 -4.3595 0.6344 Os
```

Least stable of them? (i).

(i)
The following is a PBE calculation of a geometry-optimized LiOsPt2 structure, from Alexandria.

```
LiOsPt2
1.0
4.7115 -0.0032 0.0000
1.5816 4.4381 0.0000
-3.1466 -2.2175 2.7167
Os Pt Li
1 2 1
Cartesian
2.3558 -0.0016 1.3584 Os
0.0000 0.0000 0.0000 Pt
0.7908 2.2191 1.3584 Pt
3.1466 2.2175 0.0000 Li
```

(ii)
The following is a PBE calculation of a geometry-optimized LiOsPt2 structure, from Alexandria.

```
LiOsPt2
1.0
2.7346 0.0000 0.0000
0.0000 2.7346 0.0000
0.0000 0.0000 7.8210
Os Pt Li
1 2 1
Cartesian
1.3673 1.3673 5.8958 Os
0.0000 0.0000 7.7579 Pt
1.3673 1.3673 2.0277 Pt
0.0000 0.0000 3.8712 Li
```

(iii)
The following is a PBE calculation of a geometry-optimized LiOsPt2 structure, from Alexandria.

```
LiOsPt2
1.0
-2.1052 -1.2926 -3.0526
2.2875 -0.6945 -1.2834
2.0439 -5.5886 0.9568
Os Pt Li
1 2 1
Cartesian
2.1959 -5.3587 -1.7713 Os
0.0008 -0.0017 0.0002 Pt
2.1649 -3.1399 -0.1634 Pt
0.0303 -2.2171 -1.6080 Li
```

(iv)
The following is a PBE calculation of a geometry-optimized LiOsPt2 structure, from Alexandria.

```
LiOsPt2
1.0
-0.3930 -2.2560 1.4328
-0.8942 0.1204 -2.5461
8.2268 -3.3694 -3.0487
Os Li Pt
1 1 2
Cartesian
5.4806 -3.5760 -2.8262 Os
4.0834 -1.6724 -1.5132 Li
8.1878 -3.3534 -3.0343 Pt
1.5282 -1.9572 -1.3615 Pt
```

Least stable of them? (iv).

(i)
The following is a PBE calculation of a geometry-optimized LiOsPt2 structure, from Alexandria.

```
LiOsPt2
1.0
4.6754 -0.0063 0.0000
1.4728 4.4373 0.0000
-3.0741 -2.2155 2.7387
Li Pt Os
1 2 1
Cartesian
0.7364 2.2187 1.3694 Li
3.0741 2.2155 0.0000 Pt
0.0000 0.0000 0.0000 Pt
2.3377 -0.0032 1.3694 Os
```

(ii)
The following is a PBE calculation of a geometry-optimized LiOsPt2 structure, from Alexandria.

```
LiOsPt2
1.0
-9.0311 1.2099 -1.1673
-8.7787 -1.1979 -2.4263
-9.1156 -1.1020 0.2799
Pt Os Li
2 1 1
Cartesian
-26.8782 -1.0882 -3.3078 Pt
-13.5101 -0.5470 -1.6627 Pt
-20.1941 -0.8176 -2.4852 Os
-6.7314 -0.2725 -0.8284 Li
```

(iii)
The following is a PBE calculation of a geometry-optimized LiOsPt2 structure, from Alexandria.

```
LiOsPt2
1.0
-2.3411 2.4226 -1.8943
-3.0323 -2.2153 0.9143
-3.8191 4.6098 6.6725
Os Li Pt
2 2 4
Cartesian
0.0000 0.0000 0.0000 Os
-4.4235 3.5680 2.1441 Os
-4.7691 1.2490 3.5484 Li
-2.6867 0.1036 -0.4900 Li
-4.8897 3.5275 4.6400 Pt
-2.7891 2.3814 0.6049 Pt
-3.1506 0.0789 1.9963 Pt
-7.5558 3.6462 4.1438 Pt
```

Least stable of them? (iii).